The following is a PBE calculation of crystalline Ac3ThF at its relaxed geometry, from Alexandria.

## Properties
As for the calculated volume: 167 Å³/cell. As for the raw total energy: -26.01 eV for the cell shown. Its density is 9.27 g/cm³.

```
Ac3ThF
1.0
5.506 0.000 0.000
0.000 5.506 0.000
0.000 0.000 5.506
Ac Th F
3 1 1
Direct
0.000 0.500 0.000 Ac
0.000 0.000 0.500 Ac
0.500 0.000 0.000 Ac
0.500 0.500 0.500 Th
0.000 0.000 0.000 F
```

---

The following is a PBE calculation of crystalline MoHRh2 at its relaxed geometry, from Alexandria.

## Properties
As for the calculated volume: 46 Å³/cell. As for the energy relative to the lowest polymorph listed for this composition: 0.079 eV per atom. As for the raw total energy: -29.20 eV for the cell shown. Its density is 10.87 g/cm³.

```
MoHRh2
1.0
-2.696 0.490 -0.457
-1.796 -0.032 2.119
-0.439 6.914 1.553
H Mo Rh
1 1 2
Direct
0.000 0.000 0.000 H
0.500 0.500 0.500 Mo
0.727 0.727 0.820 Rh
0.273 0.273 0.180 Rh
```

---

- Look up the raw total energy of the second one.
  -29.20 eV for the cell shown

---

- The highest raw total energy belongs to which entry?
  Ac3ThF